# 1
This record from Alexandria describes a relaxed LiThTl2 crystal. The functional is PBE.

abc: 3.4078 3.4078 10.7148
angles: 80.85 80.85 60.00
With the nearest neighbours (Å) after each atom.
Sites, in units of the cell vectors:
Tl: 0.7404 0.7404 0.7788  3 Li 3.05, 6 Tl 3.41
Tl: 0.2596 0.2596 0.2212  3 Li 3.05, 6 Tl 3.41
Th: 0.5000 0.5000 0.5000  6 Th 3.41, 6 Tl 3.53
Li: 0.0000 0.0000 0.0000  6 Tl 3.05, 6 Li 3.41

Summary:
- total magnetization (μB per formula unit) = 0.0
- DOS(E_F) (states/eV/f.u.) = 2.10
- final energy (eV/cell) = -14.427



# 2
This record from Alexandria describes a relaxed Ti2NiH2 crystal. The functional is PBE.

abc: 6.2305 5.0148 5.1046
angles: 58.47 52.42 51.62
With the nearest neighbours (Å) after each atom.
Sites, in units of the cell vectors:
Ti: 0.5033 0.3377 0.3274  4 H 1.89-1.96
Ti: 0.8313 0.8384 0.8272  4 H 1.89-1.96
Ti: 0.1687 0.1616 0.1728  4 H 1.89-1.96
Ti: 0.4967 0.6622 0.6726  4 H 1.89-1.96
Ni: 0.9903 0.7499 0.2499  2 Ni 2.47, 4 H 2.56-2.64, 8 Ti 2.59-2.67
Ni: 0.0097 0.2501 0.7501  2 Ni 2.47, 4 H 2.56-2.64, 8 Ti 2.59-2.67
H: 0.5032 0.7690 0.9777  4 Ti 1.89-1.96
H: 0.7503 0.2694 0.4773  4 Ti 1.89-1.96
H: 0.4968 0.2310 0.0223  4 Ti 1.89-1.96
H: 0.2497 0.7306 0.5227  4 Ti 1.89-1.96

Summary:
- energy above the lowest structure with this stoichiometry (meV per atom) = 0
- total magnetization (μB per formula unit) = 0.0
- DOS(E_F) (states/eV/f.u.) = 2.98
- final energy (eV/cell) = -60.798



# 3
This record from Alexandria describes a relaxed CaCuN crystal. The functional is PBE.

abc: 4.1714 4.1714 3.6920
angles: 90.00 90.00 120.00
With the nearest neighbours (Å) after each atom.
Sites, in units of the cell vectors:
Ca: 0.0000 0.0000 0.5000  3 N 2.41
Cu: 0.6667 0.3333 0.0000  2 N 1.85
N: 0.6667 0.3333 0.5000  2 Cu 1.85

Summary:
- total magnetization (μB per formula unit) = 0.0
- DOS(E_F) (states/eV/f.u.) = 1.29
- E_form (uncorrected) (eV/atom) = -0.363
- final energy (eV/cell) = -15.511



# 4
This record from Alexandria describes a relaxed PuTi2Cu crystal. The functional is PBE.

abc: 3.0801 3.0801 7.3102
angles: 90.00 90.00 90.00
With the nearest neighbours (Å) after each atom.
Sites, in units of the cell vectors:
Ti: 0.0000 0.0000 0.7872  4 Cu 2.68
Ti: 0.0000 0.0000 0.2128  4 Cu 2.68
Cu: 0.5000 0.5000 0.0000  8 Ti 2.68
Pu: 0.5000 0.5000 0.5000  8 Ti 3.03, 4 Pu 3.08

Summary:
- energy above the lowest structure with this stoichiometry (meV per atom) = 0
- total magnetization (μB per formula unit) = 4.6
- DOS(E_F) (states/eV/f.u.) = 5.62
- final energy (eV/cell) = -34.033



# 5
This record from Alexandria describes a relaxed In3CuPd4 crystal. The functional is PBE.

abc: 3.2957 3.2957 12.4984
angles: 90.00 90.00 90.00
With the nearest neighbours (Å) after each atom.
Sites, in units of the cell vectors:
Pd: 0.0000 0.0000 0.8879  4 Cu 2.72, 4 In 2.79, 1 Pd 2.80
Pd: 0.0000 0.0000 0.1121  4 Cu 2.72, 4 In 2.79, 1 Pd 2.80
Pd: 0.0000 0.0000 0.3659  8 In 2.85-2.87, 1 Pd 3.17
Pd: 0.0000 0.0000 0.6341  8 In 2.85-2.87, 1 Pd 3.17
Cu: 0.5000 0.5000 0.0000  8 Pd 2.72, 2 In 2.93
In: 0.5000 0.5000 0.2343  8 Pd 2.79-2.85, 1 Cu 2.93
In: 0.5000 0.5000 0.5000  8 Pd 2.87
In: 0.5000 0.5000 0.7657  8 Pd 2.79-2.85, 1 Cu 2.93

Summary:
- total magnetization (μB per formula unit) = 0.0
- DOS(E_F) (states/eV/f.u.) = 2.35
- final energy (eV/cell) = -36.420



# 6
This record from Alexandria describes a relaxed Li2TaOs crystal. The functional is PBE.

abc: 4.5101 5.6166 2.8320
angles: 76.38 87.61 113.02
With the nearest neighbours (Å) after each atom.
Sites, in units of the cell vectors:
Li: 0.0000 0.0000 0.0000  6 Li 2.61-2.83, 2 Os 2.83, 2 Ta 2.83
Li: 0.5000 0.0000 0.5000  6 Li 2.61-2.83, 2 Ta 2.83, 2 Os 2.83
Os: 0.0000 0.5000 0.5000  4 Ta 2.61-2.71, 4 Li 2.83, 2 Os 2.83
Ta: 0.5000 0.5000 0.0000  4 Os 2.61-2.71, 4 Li 2.83, 2 Ta 2.83

Summary:
- energy above the lowest structure with this stoichiometry (meV per atom) = 98
- total magnetization (μB per formula unit) = 0.0
- DOS(E_F) (states/eV/f.u.) = 2.27
- final energy (eV/cell) = -25.997



# 7
This record from Alexandria describes a relaxed Er3ZrRh4 crystal. The functional is PBE.

abc: 3.3328 3.3328 13.8422
angles: 90.00 90.00 90.00
With the nearest neighbours (Å) after each atom.
Sites, in units of the cell vectors:
Rh: 0.0000 0.0000 0.8864  4 Zr 2.83, 4 Er 3.00, 1 Rh 3.14
Rh: 0.0000 0.0000 0.1136  4 Zr 2.83, 4 Er 3.00, 1 Rh 3.14
Rh: 0.0000 0.0000 0.3726  8 Er 2.92-2.94
Rh: 0.0000 0.0000 0.6274  8 Er 2.92-2.94
Zr: 0.5000 0.5000 0.0000  8 Rh 2.83
Er: 0.5000 0.5000 0.2478  8 Rh 2.92-3.00
Er: 0.5000 0.5000 0.5000  8 Rh 2.94
Er: 0.5000 0.5000 0.7522  8 Rh 2.92-3.00

Summary:
- total magnetization (μB per formula unit) = 0.0
- DOS(E_F) (states/eV/f.u.) = 4.19
- final energy (eV/cell) = -58.837



# 8
This record from Alexandria describes a relaxed Mg2TeMo crystal. The functional is PBE.

abc: 5.3438 5.3438 3.1130
angles: 90.00 90.00 115.60
With the nearest neighbours (Å) after each atom.
Sites, in units of the cell vectors:
Mg: 0.0000 0.0000 0.0000  4 Mg 2.85-3.11, 4 Te 3.09, 4 Mo 3.09
Mg: 0.5000 0.5000 0.0000  4 Mg 2.85-3.11, 4 Mo 3.09, 4 Te 3.09
Mo: 0.5000 0.0000 0.5000  2 Te 2.85, 8 Mg 3.09, 2 Mo 3.11
Te: 0.0000 0.5000 0.5000  2 Mo 2.85, 8 Mg 3.09, 2 Te 3.11

Summary:
- total magnetization (μB per formula unit) = 0.0
- DOS(E_F) (states/eV/f.u.) = 3.09
- E_form (uncorrected) (eV/atom) = 0.291
- final energy (eV/cell) = -15.998



# 9
This record from Alexandria describes a relaxed ErPuCdAu crystal. The functional is PBE.

abc: 5.2037 5.2037 5.2037
angles: 60.00 60.00 60.00
With the nearest neighbours (Å) after each atom.
Sites, in units of the cell vectors:
Cd: 0.0000 0.0000 0.0000  4 Er 3.19, 4 Pu 3.19
Er: 0.2500 0.2500 0.2500  4 Cd 3.19, 4 Au 3.19
Au: 0.5000 0.5000 0.5000  4 Er 3.19, 4 Pu 3.19
Pu: 0.7500 0.7500 0.7500  4 Au 3.19, 4 Cd 3.19

Summary:
- total magnetization (μB per formula unit) = 5.9
- DOS(E_F) (states/eV/f.u.) = 10.22
- final energy (eV/cell) = -24.372



# 10
This record from Alexandria describes a relaxed Ac2Ce2CoSn2 crystal. The functional is PBE.

abc: 4.9640 4.9640 9.6183
angles: 104.95 104.95 90.00
With the nearest neighbours (Å) after each atom.
Sites, in units of the cell vectors:
Ac: 0.1743 0.1743 0.3487  1 Co 3.12, 1 Sn 3.49
Ac: 0.8257 0.8257 0.6513  1 Co 3.12, 1 Sn 3.49
Ce: 0.0000 0.5000 0.0000  2 Co 2.48
Ce: 0.5000 0.0000 0.0000  2 Co 2.48
Co: 0.0000 0.0000 0.0000  4 Ce 2.48
Sn: 0.3693 0.3693 0.7386  4 Ce 3.41, 5 Ac 3.49-3.60
Sn: 0.6307 0.6307 0.2614  4 Ce 3.41, 5 Ac 3.49-3.60

Summary:
- total magnetization (μB per formula unit) = 0.0
- DOS(E_F) (states/eV/f.u.) = 5.28
- final energy (eV/cell) = -39.262



# 11
This record from Alexandria describes a relaxed NdSbPt10 crystal. The functional is PBE.

abc: 4.4859 5.3909 9.2589
angles: 90.00 90.00 90.00
With the nearest neighbours (Å) after each atom.
Sites, in units of the cell vectors:
Nd: 0.0000 0.0000 0.0000  18 Pt 3.14-3.51
Sb: 0.0000 0.5000 0.5000  6 Pt 2.99-3.08
Pt: 0.0000 0.0000 0.3395  7 Pt 2.69-2.97
Pt: 0.0000 0.5000 0.8226  6 Pt 2.70-2.78, 1 Sb 2.99
Pt: 0.0000 0.5000 0.1774  6 Pt 2.70-2.78, 1 Sb 2.99
Pt: 0.0000 0.0000 0.6605  7 Pt 2.69-2.97
Pt: 0.5000 0.0000 0.5000  8 Pt 2.69
Pt: 0.5000 0.5000 0.0000  8 Pt 2.66-2.78
Pt: 0.5000 0.2471 0.2472  8 Pt 2.66-2.74
Pt: 0.5000 0.7529 0.7528  8 Pt 2.66-2.74
Pt: 0.5000 0.7529 0.2472  8 Pt 2.66-2.74
Pt: 0.5000 0.2471 0.7528  8 Pt 2.66-2.74

Summary:
- total magnetization (μB per formula unit) = 0.0
- DOS(E_F) (states/eV/f.u.) = 9.87
- E_form (uncorrected) (eV/atom) = -0.339
- final energy (eV/cell) = -73.367



# 12
This record from Alexandria describes a relaxed AcMg4Ni crystal. The functional is PBE.

abc: 4.2644 7.6945 8.7603
angles: 90.00 90.00 90.00
With the nearest neighbours (Å) after each atom.
Sites, in units of the cell vectors:
Ac: 0.0000 0.5896 0.7500  1 Ni 3.02
Ac: 0.0000 0.4104 0.2500  1 Ni 3.02
Mg: 0.0000 0.0000 0.5000  2 Ni 2.67
Mg: 0.0000 0.0000 0.0000  2 Ni 2.67
Mg: 0.5000 0.9603 0.7500  2 Ni 2.81, 6 Mg 2.99-3.07
Mg: 0.5000 0.0397 0.2500  2 Ni 2.81, 6 Mg 2.99-3.07
Mg: 0.5000 0.7125 0.0659  2 Ni 2.76, 1 Mg 2.99
Mg: 0.5000 0.2875 0.9341  2 Ni 2.76, 1 Mg 2.99
Mg: 0.5000 0.7125 0.4341  2 Ni 2.76, 1 Mg 2.99
Mg: 0.5000 0.2875 0.5659  2 Ni 2.76, 1 Mg 2.99
Ni: 0.0000 0.1977 0.7500  8 Mg 2.67-2.81
Ni: 0.0000 0.8023 0.2500  8 Mg 2.67-2.81

Summary:
- total magnetization (μB per formula unit) = 0.0
- DOS(E_F) (states/eV/f.u.) = 4.60
- final energy (eV/cell) = -34.244